one) Compound: Er2Mg2Pb
Source: Alexandria via LeMat-Bulk
Functional: GGA-PBE
Structure: relaxed

Structure (extended XYZ):
```
5
Lattice="-1.973 1.973 9.236 1.973 -1.973 9.236 1.973 1.973 -9.236" Properties=species:S:1:pos:R:3 pbc="T T T"
Er 0.000 0.000 1.806
Er 0.000 0.000 16.666
Mg 1.973 0.000 4.618
Mg 0.000 1.973 4.618
Pb 0.000 0.000 9.236
```

=====

two) Compound: Er2Mg2Pb
Source: Alexandria via LeMat-Bulk
Functional: GGA-PBE
Structure: relaxed

Structure (extended XYZ):
```
5
Lattice="6.184 -1.886 0.000 6.184 1.886 0.000 -0.799 0.000 6.169" Properties=species:S:1:pos:R:3 pbc="T T T"
Er 2.213 0.000 1.357
Er 9.358 0.000 4.812
Mg 0.525 0.000 4.213
Mg 11.046 0.000 1.956
Pb 6.184 0.000 0.000
```

=====

The structure with the least stability is one).

=====

one) Compound: ErMg3Pb3
Source: Alexandria via LeMat-Bulk
Functional: GGA-PBE
Structure: relaxed

Structure (extended XYZ):
```
14
Lattice="4.166 2.405 6.831 -4.166 2.405 6.831 0.000 -4.810 6.831" Properties=species:S:1:pos:R:3 pbc="T T T"
Er 0.000 0.000 3.439
Er 0.000 0.000 17.054
Mg -2.934 -0.036 7.837
Mg -1.436 -2.559 12.656
Mg 1.498 -2.523 7.837
Mg -1.498 2.523 12.656
Mg 1.436 2.559 7.837
Mg 2.934 0.036 12.656
Pb -1.250 -2.224 8.917
Pb -2.551 -0.029 11.576
Pb -1.301 2.194 8.917
Pb 1.301 -2.194 11.576
Pb 2.551 0.029 8.917
Pb 1.250 2.224 11.576
```

=====

two) Compound: ErMg3Pb3
Source: Alexandria via LeMat-Bulk
Functional: GGA-PBE
Structure: relaxed

Structure (extended XYZ):
```
14
Lattice="5.110 -5.354 0.000 5.110 5.354 0.000 -0.024 0.000 6.977" Properties=species:S:1:pos:R:3 pbc="T T T"
Er 2.044 0.000 3.483
Er 8.153 0.000 3.494
Mg 5.110 3.798 0.000
Mg 5.098 2.726 3.489
Mg 2.595 0.000 6.974
Mg 7.601 0.000 0.003
Mg 5.098 -2.726 3.489
Mg 5.110 -3.798 0.000
Pb 2.540 2.675 5.304
Pb 2.540 -2.675 5.304
Pb 5.104 0.000 1.799
Pb 5.092 0.000 5.178
Pb 7.656 2.675 1.674
Pb 7.656 -2.675 1.674
```

=====

The structure with the least stability is one).

=====

one) Compound: ErMg2Pb5
Source: Alexandria via LeMat-Bulk
Functional: GGA-PBE
Structure: relaxed

Structure (extended XYZ):
```
16
Lattice="6.524 0.000 0.000 0.000 12.443 0.000 0.000 0.000 5.556" Properties=species:S:1:pos:R:3 pbc="T T T"
Er 0.000 0.000 0.000
Er 3.262 6.221 0.000
Mg 1.126 4.852 2.778
Mg 2.136 11.073 2.778
Mg 4.388 1.369 2.778
Mg 5.398 7.591 2.778
Pb 0.000 6.221 0.000
Pb 1.063 1.601 2.778
Pb 1.325 9.446 0.000
Pb 1.937 3.224 0.000
Pb 2.199 7.822 2.778
Pb 3.262 0.000 0.000
Pb 4.325 4.621 2.778
Pb 4.587 9.219 0.000
Pb 5.199 2.997 0.000
Pb 5.461 10.842 2.778
```

=====

two) Compound: ErMg2Pb5
Source: Alexandria via LeMat-Bulk
Functional: GGA-PBE
Structure: relaxed

Structure (extended XYZ):
```
16
Lattice="-4.210 4.210 6.310 4.210 -4.210 6.310 4.210 4.210 -6.310" Properties=species:S:1:pos:R:3 pbc="T T T"
Er 0.000 0.000 3.155
Er 0.000 0.000 9.465
Mg 5.383 1.173 0.000
Mg 1.173 3.037 0.000
Mg 3.037 1.173 6.310
Mg -1.173 3.037 6.310
Pb 0.000 0.000 0.000
Pb 5.476 -1.266 2.027
Pb 2.944 -1.266 4.283
Pb 2.944 1.266 2.027
Pb 5.476 1.266 4.283
Pb 0.000 0.000 6.310
Pb -1.266 2.944 2.027
Pb 1.266 2.944 4.283
Pb 1.266 5.476 2.027
Pb -1.266 5.476 4.283
```

=====

The structure with the least stability is two).

=====

one) Compound: ErMg3Pb6
Source: Alexandria via LeMat-Bulk
Functional: GGA-PBE
Structure: relaxed

Structure (extended XYZ):
```
20
Lattice="10.225 0.000 0.000 0.000 4.842 0.000 -1.092 0.000 11.159" Properties=species:S:1:pos:R:3 pbc="T T T"
Er 0.189 1.211 4.356
Er 8.944 3.632 6.803
Mg 2.541 1.211 0.040
Mg 2.649 3.632 8.962
Mg 3.888 1.211 6.694
Mg 5.244 3.632 4.465
Mg 6.484 1.211 2.197
Mg 6.592 3.632 11.119
Pb -0.358 3.632 10.084
Pb 1.399 3.632 2.228
Pb 0.864 1.211 7.793
Pb 2.101 3.632 5.658
Pb 3.481 1.211 3.397
Pb 4.563 3.632 1.069
Pb 4.569 1.211 10.090
Pb 5.651 3.632 7.762
Pb 7.032 1.211 5.501
Pb 8.269 3.632 3.366
Pb 7.734 1.211 8.931
Pb 9.491 1.211 1.075
```

=====

two) Compound: ErMg3Pb6
Source: Alexandria via LeMat-Bulk
Functional: GGA-PBE
Structure: relaxed

Structure (extended XYZ):
```
20
Lattice="4.862 0.000 0.000 0.000 9.613 0.000 -3.451 0.000 12.387" Properties=species:S:1:pos:R:3 pbc="T T T"
Er 0.000 0.000 0.000
Er -1.725 4.807 6.194
Mg -1.047 1.659 10.388
Mg 0.678 3.147 4.194
Mg 0.706 0.000 6.194
Mg 2.431 4.807 0.000
Mg 0.733 6.466 8.193
Mg 2.459 7.954 1.999
Pb 0.036 6.469 0.753
Pb -1.689 7.951 6.947
Pb -1.706 4.880 9.387
Pb 0.019 9.540 3.193
Pb 0.773 6.591 4.713
Pb -0.952 7.829 10.906
Pb 2.364 1.784 1.481
Pb 0.638 3.023 7.675
Pb 1.392 0.074 9.194
Pb 3.118 4.733 3.000
Pb 3.101 1.662 5.441
Pb 1.375 3.144 11.634
```

=====

The structure with the least stability is two).

=====

one) Compound: Er3Mg2Pd2
Source: Alexandria via LeMat-Bulk
Functional: GGA-PBE
Structure: relaxed

Structure (extended XYZ):
```
7
Lattice="2.137 -10.882 0.000 2.137 10.882 0.000 0.000 0.000 3.599" Properties=species:S:1:pos:R:3 pbc="T T T"
Er 0.000 0.000 0.000
Er 2.137 7.072 0.000
Er 2.137 -7.072 0.000
Mg 2.137 1.800 1.800
Mg 2.137 -1.800 1.800
Pd 2.137 4.556 1.800
Pd 2.137 -4.556 1.800
```

=====

two) Compound: Er3Mg2Pd2
Source: Alexandria via LeMat-Bulk
Functional: GGA-PBE
Structure: relaxed

Structure (extended XYZ):
```
7
Lattice="6.182 -1.769 0.000 6.182 1.769 0.000 -3.652 0.000 7.637" Properties=species:S:1:pos:R:3 pbc="T T T"
Er 0.000 0.000 0.000
Er -0.209 0.000 3.389
Er 8.921 0.000 4.248
Mg 3.547 0.000 1.328
Mg 5.165 0.000 6.309
Pd 1.140 0.000 5.880
Pd 7.572 0.000 1.757
```

=====

The structure with the least stability is two).

=====

one) Compound: ErMg2Pd2
Source: Alexandria via LeMat-Bulk
Functional: GGA-PBE
Structure: relaxed

Structure (extended XYZ):
```
5
Lattice="4.727 0.000 0.000 -2.363 4.093 0.000 0.000 0.000 5.477" Properties=species:S:1:pos:R:3 pbc="T T T"
Er 0.000 0.000 0.000
Mg 0.000 2.729 1.970
Mg 2.363 1.364 3.507
Pd 0.000 2.729 4.656
Pd 2.363 1.364 0.821
```

=====

two) Compound: ErMg2Pd2
Source: Alexandria via LeMat-Bulk
Functional: GGA-PBE
Structure: relaxed

Structure (extended XYZ):
```
10
Lattice="5.084 0.000 0.000 0.000 4.761 0.000 -1.654 0.000 8.163" Properties=species:S:1:pos:R:3 pbc="T T T"
Er 0.463 1.190 2.318
Er 2.967 3.570 5.845
Mg 0.508 1.190 5.453
Mg 0.231 3.570 7.856
Mg 3.199 1.190 0.307
Mg 2.922 3.570 2.710
Pd -1.062 1.190 7.537
Pd 0.408 3.570 4.088
Pd 3.022 1.190 4.075
Pd 4.492 3.570 0.626
```

=====

The structure with the least stability is one).

=====

one) Compound: Er2Mg3Pd4
Source: Alexandria via LeMat-Bulk
Functional: GGA-PBE
Structure: relaxed

Structure (extended XYZ):
```
18
Lattice="2.891 -8.206 0.000 2.891 8.206 0.000 0.000 0.000 7.389" Properties=species:S:1:pos:R:3 pbc="T T T"
Er 2.891 6.535 6.724
Er 2.891 1.671 3.029
Er 2.891 -1.671 4.360
Er 2.891 -6.535 0.665
Mg 0.000 0.000 3.694
Mg 1.446 3.764 5.542
Mg 1.446 -3.764 1.847
Mg 2.891 0.000 0.000
Mg 4.337 3.764 5.542
Mg 4.337 -3.764 1.847
Pd 2.891 5.488 3.967
Pd 1.446 1.075 5.542
Pd 1.446 -1.075 1.847
Pd 2.891 2.717 0.272
Pd 2.891 -2.717 7.117
Pd 4.337 1.075 5.542
Pd 4.337 -1.075 1.847
Pd 2.891 -5.488 3.422
```

=====

two) Compound: Er2Mg3Pd4
Source: Alexandria via LeMat-Bulk
Functional: GGA-PBE
Structure: relaxed

Structure (extended XYZ):
```
9
Lattice="4.068 -2.351 0.000 4.068 2.351 0.000 -0.018 0.000 9.049" Properties=species:S:1:pos:R:3 pbc="T T T"
Er 1.342 0.000 2.607
Er 6.775 0.000 6.441
Mg 1.345 0.000 8.325
Mg 4.058 0.000 4.524
Mg 6.772 0.000 0.723
Pd 1.352 0.000 5.485
Pd 4.056 0.000 1.404
Pd 4.060 0.000 7.645
Pd 6.765 0.000 3.563
```

=====

The structure with the least stability is one).

=====

one) Compound: Er3Mg2Pd3
Source: Alexandria via LeMat-Bulk
Functional: GGA-PBE
Structure: relaxed

Structure (extended XYZ):
```
8
Lattice="-1.702 2.481 10.198 1.702 -2.481 10.198 1.702 2.481 -10.198" Properties=species:S:1:pos:R:3 pbc="T T T"
Er 0.000 0.000 0.000
Er 1.702 0.000 7.765
Er 0.000 2.481 2.433
Mg 0.000 0.000 4.696
Mg 0.000 0.000 15.700
Pd 1.702 0.000 2.449
Pd 0.000 0.000 10.198
Pd 0.000 2.481 7.749
```

=====

two) Compound: Er3Mg2Pd3
Source: Alexandria via LeMat-Bulk
Functional: GGA-PBE
Structure: relaxed

Structure (extended XYZ):
```
16
Lattice="8.297 0.000 0.000 -4.148 7.185 0.000 0.000 0.000 5.735" Properties=species:S:1:pos:R:3 pbc="T T T"
Er -1.076 1.865 1.434
Er -3.072 5.321 4.301
Er 2.153 0.000 1.434
Er 1.076 1.865 4.301
Er 6.144 0.000 4.301
Er 3.072 5.321 1.434
Mg 0.000 4.790 0.000
Mg 0.000 4.790 2.868
Mg 4.148 2.395 0.000
Mg 4.148 2.395 2.868
Pd -1.643 2.846 4.301
Pd -2.505 4.339 1.434
Pd 3.287 0.000 4.301
Pd 1.643 2.846 1.434
Pd 5.010 0.000 1.434
Pd 2.505 4.339 4.301
```

=====

The structure with the least stability is one).

=====

one) Compound: ErTmMgPd
Source: Alexandria via LeMat-Bulk
Functional: GGA-PBE
Structure: relaxed

Structure (extended XYZ):
```
4
Lattice="0.000 3.588 3.588 3.588 0.000 3.588 3.588 3.588 0.000" Properties=species:S:1:pos:R:3 pbc="T T T"
Er 0.000 0.000 0.000
Tm 3.588 3.588 3.588
Mg 5.383 5.383 5.383
Pd 1.794 1.794 1.794
```

=====

two) Compound: ErTmMgPd
Source: Alexandria via LeMat-Bulk
Functional: GGA-PBE
Structure: relaxed

Structure (extended XYZ):
```
4
Lattice="3.574 0.000 0.000 0.000 3.574 0.000 0.000 0.000 7.398" Properties=species:S:1:pos:R:3 pbc="T T T"
Er 0.000 0.000 0.000
Tm 0.000 0.000 3.262
Mg 1.787 1.787 5.321
Pd 1.787 1.787 1.653
```

=====

The structure with the least stability is one).

=====

one) Compound: Pm2ErMg
Source: Alexandria via LeMat-Bulk
Functional: GGA-PBE
Structure: relaxed

Structure (extended XYZ):
```
4
Lattice="3.539 0.000 0.000 0.000 1.735 10.236 0.000 -1.735 10.236" Properties=species:S:1:pos:R:3 pbc="T T T"
Pm 0.000 0.000 0.000
Pm 0.000 0.000 4.699
Er 1.770 0.000 17.444
Mg 1.770 0.000 12.562
```

=====

two) Compound: Pm2ErMg
Source: Alexandria via LeMat-Bulk
Functional: GGA-PBE
Structure: relaxed

Structure (extended XYZ):
```
4
Lattice="1.741 1.005 12.406 -1.741 1.005 12.406 0.000 -2.010 12.406" Properties=species:S:1:pos:R:3 pbc="T T T"
Pm 0.000 0.000 3.334
Pm 0.000 0.000 33.883
Er 0.000 0.000 18.608
Mg 0.000 0.000 0.000
```

=====

three) Compound: Pm2ErMg
Source: Alexandria via LeMat-Bulk
Functional: GGA-PBE
Structure: relaxed

Structure (extended XYZ):
```
4
Lattice="5.014 0.000 0.000 0.000 5.014 0.000 0.000 0.000 4.857" Properties=species:S:1:pos:R:3 pbc="T T T"
Pm 0.000 2.507 0.000
Pm 2.507 0.000 0.000
Er 0.000 0.000 2.428
Mg 2.507 2.507 2.428
```

=====

four) Compound: Pm2ErMg
Source: Alexandria via LeMat-Bulk
Functional: GGA-PBE
Structure: relaxed

Structure (extended XYZ):
```
4
Lattice="0.000 3.938 3.938 3.938 0.000 3.938 3.938 3.938 0.000" Properties=species:S:1:pos:R:3 pbc="T T T"
Pm 1.969 1.969 1.969
Pm 5.907 5.907 5.907
Er 0.000 0.000 0.000
Mg 3.938 3.938 3.938
```

=====

The structure with the least stability is two).